Record 1
First-principles (GGA-PBE) data for an optimized crystal structure of MoOs2Cl, as listed in the Alexandria database.

Calculated values
The value obtained for the total moment is 0.000 μB/atom. The raw formation energy comes out at 1.3712 eV per atom. Its calculated total energy is -7.413 eV/atom.

a = 5.7529 Å, b = 5.7529 Å, c = 6.4047 Å
α = 63.31°, β = 63.31°, γ = 90.00°
Sites, in units of the cell vectors:
Cl (0.5000, 0.5000, 0.0000)
Cl (0.2500, 0.7500, 0.5000)
Mo (0.0000, 0.0000, 0.0000)
Mo (0.7500, 0.2500, 0.5000)
Os (0.1409, 0.6250, 0.2500)
Os (0.8750, 0.8591, 0.7500)
Os (0.6091, 0.1250, 0.2500)
Os (0.3750, 0.3909, 0.7500)

***

Record 2
First-principles (GGA-PBE) data for an optimized crystal structure of SbTe2HOs, as listed in the Alexandria database.

Calculated values
The value obtained for the total moment is 0.000 μB/atom. Its calculated total energy is -3.945 eV/atom.

a = 5.0106 Å, b = 5.0106 Å, c = 3.7922 Å
α = 90.00°, β = 90.00°, γ = 90.00°
Sites, in units of the cell vectors:
Sb (0.0000, 0.0000, 0.5000)
Te (0.5000, 0.0000, 0.0000)
Te (0.0000, 0.5000, 0.0000)
Os (0.5000, 0.5000, 0.5000)
H (0.0000, 0.0000, 0.0000)

***

Record 3
First-principles (GGA-PBE) data for an optimized crystal structure of Pm6CS5, as listed in the Alexandria database.

Calculated values
The value obtained for the total moment is 0.000 μB/atom. The raw formation energy comes out at -1.7776 eV per atom. Its calculated total energy is -6.641 eV/atom.

a = 6.9338 Å, b = 8.0158 Å, c = 6.9215 Å
α = 106.80°, β = 99.53°, γ = 125.39°
Sites, in units of the cell vectors:
Pm (0.4640, 0.2312, 0.0000)
Pm (0.8454, 0.0771, 0.6916)
Pm (0.1538, 0.3856, 0.3084)
Pm (0.8462, 0.6145, 0.6916)
Pm (0.5360, 0.7688, 0.0000)
Pm (0.1546, 0.9229, 0.3084)
S (0.6664, 0.6664, 0.3328)
S (0.6708, 0.1708, 0.3416)
S (0.0000, 0.5000, 0.0000)
S (0.3336, 0.3336, 0.6672)
S (0.3292, 0.8292, 0.6584)
C (0.0000, 0.0000, 0.0000)

***

Record 4
First-principles (GGA-PBE) data for an optimized crystal structure of Ba7TlPt2Au2, as listed in the Alexandria database.

Calculated values
The value obtained for the total moment is 0.000 μB/atom. The formation energy comes out at -0.542 eV/atom. Its calculated total energy is -3.414 eV/atom.

a = 6.4498 Å, b = 6.4552 Å, c = 13.6078 Å
α = 103.72°, β = 103.71°, γ = 90.00°
Sites, in units of the cell vectors:
Au (0.7497, 0.2467, 0.4994)
Au (0.2503, 0.7473, 0.5006)
Pt (0.3820, 0.3799, 0.7640)
Pt (0.6180, 0.6159, 0.2360)
Ba (0.8837, 0.3814, 0.7673)
Ba (0.1163, 0.6140, 0.2327)
Ba (0.3843, 0.8812, 0.7686)
Ba (0.2603, 0.2574, 0.5206)
Ba (0.5000, 0.4885, 0.0000)
Ba (0.6157, 0.1125, 0.2314)
Ba (0.7397, 0.7368, 0.4794)
Tl (0.0000, 0.0381, 0.0000)

***

Record 5
First-principles (GGA-PBE) data for an optimized crystal structure of TmLuNiRh, as listed in the Alexandria database.

Calculated values
The value obtained for the total moment is 0.000 μB/atom. The formation energy comes out at -0.722 eV/atom. Its calculated total energy is -6.254 eV/atom.

a = 4.7332 Å, b = 4.7332 Å, c = 4.7332 Å
α = 60.00°, β = 60.00°, γ = 60.00°
Sites, in units of the cell vectors:
Tm (0.2500, 0.2500, 0.2500)
Ni (0.0000, 0.0000, 0.0000)
Rh (0.5000, 0.5000, 0.5000)
Lu (0.7500, 0.7500, 0.7500)

***

What is the calculated total energy in the fifth record? -6.254 eV/atom

***

calculated total energy of number 4 (Ba7TlPt2Au2)? -3.414 eV/atom

***

What did the fifth record say?
First-principles (GGA-PBE) data for an optimized crystal structure of TmLuNiRh, as listed in the Alexandria database.

Calculated values
The value obtained for the total moment is 0.000 μB/atom. The formation energy comes out at -0.722 eV/atom. Its calculated total energy is -6.254 eV/atom.

a = 4.7332 Å, b = 4.7332 Å, c = 4.7332 Å
α = 60.00°, β = 60.00°, γ = 60.00°
Sites, in units of the cell vectors:
Tm (0.2500, 0.2500, 0.2500)
Ni (0.0000, 0.0000, 0.0000)
Rh (0.5000, 0.5000, 0.5000)
Lu (0.7500, 0.7500, 0.7500)